(1)
Here is a relaxed structure of ScCdCl2 from Alexandria via LeMat-Bulk. Energies are from PBE-GGA.

abc: 10.8535 10.8535 10.8535
angles: 18.61 18.61 18.61
Last column: nearest neighbours and their distance in Å.
Atoms (fractional coordinates):
Sc1 0.0000 0.0000 0.0000  6 Cl 2.57
Cd1 0.5000 0.5000 0.5000  6 Cd 3.51, 2 Cl 3.75
Cl1 0.3829 0.3829 0.3829  3 Sc 2.57
Cl2 0.6171 0.6171 0.6171  3 Sc 2.57

Crystal system: trigonal
Space-group type: R-3m (166)
Total moment (μB per formula unit): 0.0
N(E_F) (states/eV per atom): 0.538

***

(2)
Here is a relaxed structure of TaNiPt2 from Alexandria via LeMat-Bulk. Energies are from PBE-GGA.

abc: 4.8345 4.8345 4.8345
angles: 132.85 132.85 68.88
Last column: nearest neighbours and their distance in Å.
Atoms (fractional coordinates):
Ta1 0.0000 0.0000 0.0000  8 Pt 2.73-2.78, 4 Ni 2.78
Ni1 0.7500 0.2500 0.5000  8 Pt 2.73-2.78, 4 Ta 2.78
Pt1 0.2500 0.7500 0.5000  4 Ni 2.73, 4 Ta 2.78, 4 Pt 2.78
Pt2 0.5000 0.5000 0.0000  4 Ta 2.73, 4 Ni 2.78, 4 Pt 2.78

Crystal system: tetragonal
Space-group type: I-4m2 (119)
Total moment (μB per formula unit): 0.0
N(E_F) (states/eV per atom): 0.380

***

(3)
Here is a relaxed structure of HoVRh2 from Alexandria via LeMat-Bulk. Energies are from PBE-GGA.

abc: 4.5806 4.5806 4.5806
angles: 60.00 60.00 60.00
Last column: nearest neighbours and their distance in Å.
Atoms (fractional coordinates):
Ho1 0.0000 0.0000 0.0000  8 Rh 2.81
V1 0.5000 0.5000 0.5000  8 Rh 2.81
Rh1 0.2500 0.2500 0.2500  4 Ho 2.81, 4 V 2.81
Rh2 0.7500 0.7500 0.7500  4 Ho 2.81, 4 V 2.81

Crystal system: cubic
Space-group type: Fm-3m (225)
Total moment (μB per formula unit): 2.2
N(E_F) (states/eV per atom): 1.575

***

(4)
Here is a relaxed structure of Li3Ga4Pt2 from Alexandria via LeMat-Bulk. Energies are from PBE-GGA.

abc: 5.3272 5.3272 8.0987
angles: 119.27 119.27 47.80
Last column: nearest neighbours and their distance in Å.
Atoms (fractional coordinates):
Li1 0.0000 0.0000 0.0000  6 Ga 2.76-3.02, 4 Pt 2.87, 2 Li 2.92
Li2 0.3372 0.3372 0.3291  8 Ga 2.73-3.04, 2 Li 2.89-2.92, 4 Pt 2.92-2.96
Li3 0.6628 0.6628 0.6709  8 Ga 2.73-3.04, 2 Li 2.89-2.92, 4 Pt 2.92-2.96
Ga1 0.0880 0.0880 0.4181  3 Pt 2.51-2.64, 1 Ga 2.67, 2 Li 2.79
Ga2 0.3149 0.3149 0.9782  2 Pt 2.52-2.59, 2 Ga 2.62, 3 Li 2.73-2.76
Ga3 0.6851 0.6851 0.0218  2 Pt 2.52-2.59, 2 Ga 2.62, 3 Li 2.73-2.76
Ga4 0.9120 0.9120 0.5819  3 Pt 2.51-2.64, 1 Ga 2.67, 2 Li 2.79
Pt1 0.3891 0.3891 0.7238  5 Ga 2.51-2.64
Pt2 0.6109 0.6109 0.2762  5 Ga 2.51-2.64

Crystal system: monoclinic
Space-group type: C2/m (12)
Total moment (μB per formula unit): 0.0
N(E_F) (states/eV per atom): 0.307

***

(5)
Here is a relaxed structure of Zn3Au from Alexandria via LeMat-Bulk. Energies are from PBE-GGA.

abc: 4.4177 5.8344 4.8159
angles: 90.00 90.00 90.00
Last column: nearest neighbours and their distance in Å.
Atoms (fractional coordinates):
Zn1 0.2500 0.0037 0.1668  8 Zn 2.73-2.96, 4 Au 2.78-2.81
Zn2 0.2500 0.4963 0.1668  8 Zn 2.73-2.96, 4 Au 2.78-2.81
Zn3 0.2500 0.7500 0.6676  4 Au 2.73-2.92, 8 Zn 2.75-2.83
Zn4 0.7500 0.2500 0.3324  4 Au 2.73-2.92, 8 Zn 2.75-2.83
Zn5 0.7500 0.5037 0.8332  8 Zn 2.73-2.96, 4 Au 2.78-2.81
Zn6 0.7500 0.9963 0.8332  8 Zn 2.73-2.96, 4 Au 2.78-2.81
Au1 0.2500 0.2500 0.6672  12 Zn 2.73-2.92
Au2 0.7500 0.7500 0.3328  12 Zn 2.73-2.92

Crystal system: orthorhombic
Space-group type: Pmmn (59)
Total moment (μB per formula unit): 0.0
N(E_F) (states/eV per atom): 0.125

***

(6)
Here is a relaxed structure of RbCa2In2 from Alexandria via LeMat-Bulk. Energies are from PBE-GGA.

abc: 9.4243 9.4243 3.9902
angles: 90.00 90.00 90.00
Last column: nearest neighbours and their distance in Å.
Atoms (fractional coordinates):
Rb1 0.0000 0.0000 0.0000  4 In 3.77, 2 Rb 3.99, 8 Ca 4.02
Rb2 0.5000 0.5000 0.0000  4 In 3.77, 2 Rb 3.99, 8 Ca 4.02
Ca1 0.1721 0.3279 0.5000  6 In 3.42-3.45
Ca2 0.3279 0.8279 0.5000  6 In 3.42-3.45
Ca3 0.6721 0.1721 0.5000  6 In 3.42-3.45
Ca4 0.8279 0.6721 0.5000  6 In 3.42-3.45
In1 0.1169 0.6169 0.0000  1 In 3.12, 6 Ca 3.42-3.45
In2 0.3831 0.1169 0.0000  1 In 3.12, 6 Ca 3.42-3.45
In3 0.6169 0.8831 0.0000  1 In 3.12, 6 Ca 3.42-3.45
In4 0.8831 0.3831 0.0000  1 In 3.12, 6 Ca 3.42-3.45

Crystal system: tetragonal
Space-group type: P4/mbm (127)
Total moment (μB per formula unit): 0.0
N(E_F) (states/eV per atom): 0.483

***

| no. | uncorrected energy (eV/atom) |
| --- | --- |
| 1 | -4.0176 |
| 2 | -8.0468 |
| 3 | -7.5027 |
| 4 | -3.9299 |
| 5 | -1.9228 |
| 6 | -2.2904 |